Record 1
A plane-wave DFT calculation with PBE was carried out for an optimized crystal structure of LiLuSiPd.

Output
volume: 257.6 Å³ per cell
ΔE_f (raw): -704 meV/atom
spin magnetization: 0.000 μB per atom

Unit cell a=6.3631 b=6.3631 c=6.3631 alpha=90.00 beta=90.00 gamma=90.00
With the nearest neighbours (Å) after each atom.
Space group F-43m (No. 216)
Inequivalent atoms, fractional coordinates:
Li: 0.0000 0.0000 0.0000 (multiplicity 4)  4 Si 2.76, 4 Lu 2.76
Lu: 0.2500 0.2500 0.2500 (multiplicity 4)  4 Li 2.76, 4 Pd 2.76
Si: 0.2500 0.2500 0.7500 (multiplicity 4)  4 Li 2.76, 4 Pd 2.76
Pd: 0.0000 0.0000 0.5000 (multiplicity 4)  4 Lu 2.76, 4 Si 2.76


Record 2
A plane-wave DFT calculation with PBE was carried out for an optimized crystal structure of LiLuSnPd.

Output
volume: 295.1 Å³ per cell
formation enthalpy at 0 K: -788 meV/atom
Fermi-level density of states: 0.5 states/eV per cell
spin magnetization: 0.000 μB per atom

Unit cell a=6.6573 b=6.6573 c=6.6573 alpha=90.00 beta=90.00 gamma=90.00
With the nearest neighbours (Å) after each atom.
Space group F-43m (No. 216)
Inequivalent atoms, fractional coordinates:
Li: 0.0000 0.0000 0.0000 (multiplicity 4)  4 Sn 2.88, 4 Lu 2.88
Lu: 0.2500 0.2500 0.7500 (multiplicity 4)  4 Li 2.88, 4 Pd 2.88
Sn: 0.2500 0.2500 0.2500 (multiplicity 4)  4 Pd 2.88, 4 Li 2.88
Pd: 0.0000 0.0000 0.5000 (multiplicity 4)  4 Sn 2.88, 4 Lu 2.88


Record 3
A plane-wave DFT calculation with PBE was carried out for an optimized crystal structure of LiTbLuPd.

Output
volume: 350.3 Å³ per cell
formation enthalpy at 0 K: -433 meV/atom
Fermi-level density of states: 10.6 states/eV per cell
spin magnetization: 0.000 μB per atom

Unit cell a=7.0494 b=7.0494 c=7.0494 alpha=90.00 beta=90.00 gamma=90.00
With the nearest neighbours (Å) after each atom.
Space group F-43m (No. 216)
Inequivalent atoms, fractional coordinates:
Li: 0.0000 0.0000 0.0000 (multiplicity 4)  4 Lu 3.05, 4 Tb 3.05
Tb: 0.2500 0.2500 0.2500 (multiplicity 4)  4 Li 3.05, 4 Pd 3.05
Lu: 0.2500 0.2500 0.7500 (multiplicity 4)  4 Li 3.05, 4 Pd 3.05
Pd: 0.0000 0.0000 0.5000 (multiplicity 4)  4 Tb 3.05, 4 Lu 3.05


Record 4
A plane-wave DFT calculation with PBE was carried out for an optimized crystal structure of LiLuZnPd.

Output
volume: 279.5 Å³ per cell
formation enthalpy at 0 K: -477 meV/atom
Fermi-level density of states: 16.6 states/eV per cell
spin magnetization: 0.000 μB per atom

Unit cell a=6.5386 b=6.5386 c=6.5386 alpha=90.00 beta=90.00 gamma=90.00
With the nearest neighbours (Å) after each atom.
Space group F-43m (No. 216)
Inequivalent atoms, fractional coordinates:
Li: 0.0000 0.0000 0.0000 (multiplicity 4)  4 Zn 2.83, 4 Lu 2.83
Lu: 0.2500 0.2500 0.2500 (multiplicity 4)  4 Li 2.83, 4 Pd 2.83
Zn: 0.2500 0.2500 0.7500 (multiplicity 4)  4 Li 2.83, 4 Pd 2.83
Pd: 0.0000 0.0000 0.5000 (multiplicity 4)  4 Lu 2.83, 4 Zn 2.83


Taking the records one at a time from the top gives energy values of -4.966; -4.695; -4.497; -3.703 eV/atom.